[1]
Density functional theory data (GGA-PBE) for Zr2InBr after structural relaxation.

Summary:
energy above the lowest structure with this stoichiometry	252	meV per atom
calculated density	7.12	g/cm3
total energy	-22.17	eV per formula unit

Cell: 5.1913 5.1913 3.2620 Å, 90.00 90.00 89.99°
Fractional positions:
Br  0.5000  0.0000  0.5000
Zr  0.0000  0.0000  0.0000
Zr  0.5000  0.5000  0.0000
In  0.0000  0.5000  0.5000

---

[2]
Density functional theory data (GGA-PBE) for DyMgBiPd after structural relaxation.

Summary:
formation energy	-0.53	eV/atom
calculated density	8.97	g/cm3
total energy	-17.38	eV per formula unit

Cell: 5.0856 5.0856 5.0856 Å, 60.00 60.00 60.00°
Fractional positions:
Mg  0.7500  0.7500  0.7500
Bi  0.5000  0.5000  0.5000
Pd  0.0000  0.0000  0.0000
Dy  0.2500  0.2500  0.2500

---

[3]
Density functional theory data (GGA-PBE) for TbNd3Tm after structural relaxation.

Summary:
formation energy	0.02	eV/atom
calculated density	7.55	g/cm3
total energy	-23.32	eV per formula unit

Cell: 3.6351 7.2206 25.5004 Å, 90.00 90.00 90.00°
Fractional positions:
Tb  0.7500  0.6235  0.6479
Tb  0.2500  0.8765  0.1479
Tb  0.2500  0.3765  0.3521
Tb  0.7500  0.1235  0.8521
Nd  0.2500  0.8695  0.7503
Nd  0.7500  0.6305  0.2503
Nd  0.7500  0.1305  0.2497
Nd  0.2500  0.3695  0.7497
Nd  0.7500  0.1177  0.6483
Nd  0.2500  0.3823  0.1483
Nd  0.2500  0.8823  0.3517
Nd  0.7500  0.6177  0.8517
Nd  0.7500  0.6283  0.4510
Nd  0.2500  0.8717  0.9510
Nd  0.2500  0.3717  0.5490
Nd  0.7500  0.1283  0.0490
Tm  0.2500  0.8745  0.5489
Tm  0.7500  0.6255  0.0489
Tm  0.7500  0.1255  0.4511
Tm  0.2500  0.3745  0.9511

---

[4]
Density functional theory data (GGA-PBE) for BeInH3 after structural relaxation.

Summary:
energy above the lowest structure with this stoichiometry	493	meV per atom
calculated density	3.41	g/cm3
total energy	-11.91	eV per formula unit

Cell: 3.9513 3.9513 3.9513 Å, 90.00 90.00 90.00°
Fractional positions:
Be  0.5000  0.5000  0.5000
H  0.0000  0.5000  0.0000
H  0.0000  0.0000  0.5000
H  0.5000  0.0000  0.0000
In  0.0000  0.0000  0.0000

---

[5]
Density functional theory data (GGA-PBE) for NaCuCl2 after structural relaxation.

Summary:
energy above the lowest structure with this stoichiometry	41	meV per atom
calculated density	2.68	g/cm3
total energy	-13.35	eV per formula unit

Cell: 5.9208 5.9208 6.9638 Å, 64.84 64.84 90.00°
Fractional positions:
Na  0.5000  0.5000  0.0000
Na  0.2500  0.7500  0.5000
Cu  0.0000  0.0000  0.0000
Cu  0.7500  0.2500  0.5000
Cl  0.6750  0.1250  0.2500
Cl  0.0750  0.6250  0.2500
Cl  0.3750  0.3250  0.7500
Cl  0.8750  0.9250  0.7500

---

[6]
Density functional theory data (GGA-PBE) for ScAgAu4 after structural relaxation.

Summary:
energy above the lowest structure with this stoichiometry	0	meV per atom
formation energy	-0.39	eV/atom
calculated density	14.14	g/cm3
total energy	-24.62	eV per formula unit

Cell: 3.9586 5.0923 6.2819 Å, 107.23 90.00 112.87°
Fractional positions:
Sc  0.5000  0.5000  0.0000
Ag  0.5000  0.5000  0.5000
Au  0.1624  0.8247  0.3304
Au  0.8376  0.1753  0.6696
Au  0.8354  0.1708  0.1655
Au  0.1646  0.8292  0.8345

---

[7]
Density functional theory data (GGA-PBE) for Ti7In2Ga2 after structural relaxation.

Summary:
formation energy	-0.02	eV/atom
calculated density	5.87	g/cm3
total energy	-66.98	eV per formula unit

Cell: 6.8716 4.8288 6.8716 Å, 69.42 101.01 110.58°
Site moments in Bohr magnetons follow the coordinates.
Fractional positions:
Ti  0.0440  0.2175  0.6100  0.73
Ti  0.6100  0.7825  0.0440  0.73
Ti  0.9560  0.7825  0.3900  0.73
Ti  0.3900  0.2175  0.9560  0.73
Ti  0.0000  0.0000  0.0000  0.53
Ti  0.4996  0.7422  0.5004  0.06
Ti  0.5004  0.2578  0.4996  0.06
In  0.7980  0.5000  0.7980  -0.01
In  0.2020  0.5000  0.2020  -0.01
Ga  0.7632  0.2628  0.2368  -0.02
Ga  0.2368  0.7372  0.7632  -0.02

---

[8]
Density functional theory data (GGA-PBE) for OsBrClF2 after structural relaxation.

Summary:
calculated density	6.66	g/cm3
total energy	-19.98	eV per formula unit

Cell: 4.1174 5.0534 4.1174 Å, 90.00 90.00 90.00°
Site moments in Bohr magnetons follow the coordinates.
Fractional positions:
F  0.0000  0.0000  0.5000  0.03
F  0.5000  0.0000  0.0000  0.09
Os  0.0000  0.0000  0.0000  1.02
Br  0.0000  0.5000  0.0000  0.07
Cl  0.5000  0.5000  0.5000  -0.01